Entry 1:
ErHgCl5: optimized geometry, GGA-PBE.

Structure (extended XYZ):
```
14
Lattice="4.3923 -5.4960 0.0000 4.3923 5.4960 0.0000 -0.9709 0.0000 8.0126" Properties=species:S:1:pos:R:3 pbc="T T T"
Er 3.6642 4.7861 6.0095
Er 4.1496 -4.7861 2.0032
Hg 4.3923 0.0000 0.0000
Hg 3.9069 0.0000 4.0063
Cl 3.6188 4.1487 0.4149
Cl 2.4385 1.2223 2.5150
Cl 4.6804 4.1487 3.5915
Cl 3.6642 2.0654 6.0095
Cl 1.9531 -1.2223 6.5213
Cl 5.8607 1.2223 1.4913
Cl 4.1496 -2.0654 2.0032
Cl 3.1334 -4.1487 4.4212
Cl 5.3753 -1.2223 5.4976
Cl 4.1950 -4.1487 7.5978
```

Summary:
For the uncorrected formation energy, the calculation gives -1.484 eV/atom. The total DFT energy (no corrections) is -3.50 eV/atom. For the total moment, the calculation gives 0.0 μB per formula unit.



Entry 2:
ReTeRu2: optimized geometry, GGA-PBE.

Structure (extended XYZ):
```
4
Lattice="4.0328 0.0000 0.0000 0.0000 4.0328 0.0000 0.0000 0.0000 3.8945" Properties=species:S:1:pos:R:3 pbc="T T T"
Re 0.0000 0.0000 0.0000
Te 2.0164 2.0164 0.0000
Ru 0.0000 2.0164 1.9473
Ru 2.0164 0.0000 1.9473
```

Summary:
For the uncorrected formation energy, the calculation gives 0.628 eV/atom. The total DFT energy (no corrections) is -7.91 eV/atom. For the total moment, the calculation gives 0.0 μB per formula unit.



Entry 3:
DyErPbAu: optimized geometry, GGA-PBE.

Structure (extended XYZ):
```
16
Lattice="7.4078 0.0000 0.0000 0.0000 7.4078 0.0000 0.0000 0.0000 7.4078" Properties=species:S:1:pos:R:3 pbc="T T T"
Dy 0.0000 0.0000 0.0000
Dy 0.0000 3.7039 3.7039
Dy 3.7039 0.0000 3.7039
Dy 3.7039 3.7039 0.0000
Er 0.0000 0.0000 3.7039
Er 0.0000 3.7039 0.0000
Er 3.7039 0.0000 0.0000
Er 3.7039 3.7039 3.7039
Pb 1.8520 1.8520 1.8520
Pb 1.8520 5.5559 5.5559
Pb 5.5559 1.8520 5.5559
Pb 5.5559 5.5559 1.8520
Au 1.8520 1.8520 5.5559
Au 1.8520 5.5559 1.8520
Au 5.5559 1.8520 1.8520
Au 5.5559 5.5559 5.5559
```

Summary:
The total DFT energy (no corrections) is -4.63 eV/atom. For the total moment, the calculation gives 0.6 μB per formula unit. The energy of formation is -2.379 eV/f.u.



Q: Number 2 is which compound?
A: ReTeRu2



Q: What is the total DFT energy (no corrections) in the first record?
A: -3.50 eV/atom